1.
# Li5W | Alexandria via LeMat-Bulk | PBE | optimized geometry
data_Li5W
_space_group_name_H-M_alt 'C 1 m 1'
_space_group_IT_number 8
_cell_length_a 11.092
_cell_length_b 2.540
_cell_length_c 7.283
_cell_angle_alpha 90.00
_cell_angle_beta 101.90
_cell_angle_gamma 90.00
loop_
_space_group_symop_operation_xyz
'x,y,z'
'x,-y,z'
'x+1/2,y+1/2,z'
'x+1/2,-y+1/2,z'
loop_
_atom_site_label
_atom_site_fract_x
_atom_site_fract_y
_atom_site_fract_z
_atom_site_occupancy
Li1 0.000 0.000 0.000 1
Li2 0.059 0.000 0.618 1
Li3 0.162 0.500 0.314 1
Li4 0.247 0.500 0.979 1
Li5 0.323 0.000 0.640 1
W1 0.401 0.000 0.297 1
# * E_form: 36.1 kJ/mol of atoms
# * crystal system: monoclinic
# * V: 201 Å³/cell
# * E_tot: -3.380 eV/atom
# * distance to the lowest polymorph of the same formula: 0.00 eV/f.u.


2.
# LiW3 | Alexandria via LeMat-Bulk | PBE | optimized geometry
data_LiW3
_space_group_name_H-M_alt 'P 1 2/m 1'
_space_group_IT_number 10
_cell_length_a 2.677
_cell_length_b 4.470
_cell_length_c 5.228
_cell_angle_alpha 90.00
_cell_angle_beta 98.02
_cell_angle_gamma 90.00
loop_
_space_group_symop_operation_xyz
'x,y,z'
'-x,-y,-z'
'-x,y,-z'
'x,-y,z'
loop_
_atom_site_label
_atom_site_fract_x
_atom_site_fract_y
_atom_site_fract_z
_atom_site_occupancy
Li1 0.000 0.000 0.000 1
W1 0.232 0.500 0.750 1
W2 0.500 0.000 0.500 1
# * E_form: 32.3 kJ/mol of atoms
# * crystal system: monoclinic
# * V: 62 Å³/cell
# * E_tot: -9.859 eV/atom
# * distance to the lowest polymorph of the same formula: 0.08 eV/f.u.


3.
# LiW3 | Alexandria via LeMat-Bulk | PBE | optimized geometry
data_LiW3
_space_group_name_H-M_alt 'I 4/m m m'
_space_group_IT_number 139
_space_group_name_Hall '-I 4 2'
_cell_length_a 4.346
_cell_length_b 4.346
_cell_length_c 12.918
_cell_angle_alpha 90.00
_cell_angle_beta 90.00
_cell_angle_gamma 90.00
loop_
_atom_site_label
_atom_site_fract_x
_atom_site_fract_y
_atom_site_fract_z
_atom_site_occupancy
Li1 0.000 0.000 0.128 1
W1 0.000 0.000 0.373 1
W2 0.000 0.500 0.000 1
W3 0.000 0.500 0.250 1
# * E_form: 44.7 kJ/mol of atoms
# * crystal system: tetragonal
# * V: 244 Å³/cell
# * E_tot: -9.730 eV/atom
# * distance to the lowest polymorph of the same formula: 0.60 eV/f.u.


4.
# LiW3 | Alexandria via LeMat-Bulk | PBE | optimized geometry
data_LiW3
_space_group_name_H-M_alt 'R -3 m'
_space_group_IT_number 166
_space_group_name_Hall '-R 3 2"'
_cell_length_a 9.0240
_cell_length_b 9.0240
_cell_length_c 2.6401
_cell_angle_alpha 90.00
_cell_angle_beta 90.00
_cell_angle_gamma 120.00
loop_
_atom_site_label
_atom_site_fract_x
_atom_site_fract_y
_atom_site_fract_z
_atom_site_occupancy
Li1 0.0000 0.0000 0.0000 1
W1 0.0000 0.5000 0.0000 1
# * E_form: 32.6 kJ/mol of atoms
# * crystal system: trigonal
# * V: 186 Å³/cell
# * E_tot: -9.855 eV/atom
# * distance to the lowest polymorph of the same formula: 0.09 eV/f.u.


5.
# LiW | Alexandria via LeMat-Bulk | PBE | optimized geometry
data_LiW
_space_group_name_H-M_alt 'I 41/a m d'
_space_group_IT_number 141
_cell_length_a 5.573
_cell_length_b 5.573
_cell_length_c 7.715
_cell_angle_alpha 90.00
_cell_angle_beta 90.00
_cell_angle_gamma 90.00
loop_
_space_group_symop_operation_xyz
'x,y,z'
'-x,-y,-z'
'-y+1/4,x+3/4,z+1/4'
'y+1/4,-x+3/4,-z+1/4'
'-x+1/2,-y,z+1/2'
'x+1/2,y,-z+1/2'
'y+1/4,-x+1/4,z+3/4'
'-y+1/4,x+1/4,-z+3/4'
'x,-y,-z'
'-x,y,z'
'-y+1/4,-x+1/4,-z+3/4'
'y+1/4,x+1/4,z+3/4'
'-x+1/2,y,-z+1/2'
'x+1/2,-y,z+1/2'
'y+1/4,x+3/4,-z+1/4'
'-y+1/4,-x+3/4,z+1/4'
'x+1/2,y+1/2,z+1/2'
'-x+1/2,-y+1/2,-z+1/2'
'-y+3/4,x+1/4,z+3/4'
'y+3/4,-x+1/4,-z+3/4'
'-x,-y+1/2,z'
'x,y+1/2,-z'
'y+3/4,-x+3/4,z+1/4'
'-y+3/4,x+3/4,-z+1/4'
'x+1/2,-y+1/2,-z+1/2'
'-x+1/2,y+1/2,z+1/2'
'-y+3/4,-x+3/4,-z+1/4'
'y+3/4,x+3/4,z+1/4'
'-x,y+1/2,-z'
'x,-y+1/2,z'
'y+3/4,x+1/4,-z+3/4'
'-y+3/4,-x+1/4,z+3/4'
loop_
_atom_site_label
_atom_site_fract_x
_atom_site_fract_y
_atom_site_fract_z
_atom_site_occupancy
Li1 0.000 0.000 0.000 1
W1 0.000 0.000 0.500 1
# * E_form: 50.3 kJ/mol of atoms
# * crystal system: tetragonal
# * V: 240 Å³/cell
# * E_tot: -6.913 eV/atom
# * distance to the lowest polymorph of the same formula: 0.51 eV/f.u.


6.
# Li3W | Alexandria via LeMat-Bulk | PBE | optimized geometry
data_Li3W
_space_group_name_H-M_alt 'P 4/m m m'
_space_group_IT_number 123
_space_group_name_Hall '-P 4 2'
_cell_length_a 2.627
_cell_length_b 2.627
_cell_length_c 9.609
_cell_angle_alpha 90.00
_cell_angle_beta 90.00
_cell_angle_gamma 90.00
loop_
_atom_site_label
_atom_site_fract_x
_atom_site_fract_y
_atom_site_fract_z
_atom_site_occupancy
Li1 0.000 0.000 0.000 1
Li2 0.500 0.500 0.264 1
W1 0.000 0.000 0.500 1
# * E_form: 33.2 kJ/mol of atoms
# * crystal system: tetragonal
# * V: 66 Å³/cell
# * E_tot: -4.329 eV/atom
# * distance to the lowest polymorph of the same formula: 0.26 eV/f.u.


7.
# LiW3 | Alexandria via LeMat-Bulk | PBE | optimized geometry
data_LiW3
_space_group_name_H-M_alt 'P 4/m m m'
_space_group_IT_number 123
_space_group_name_Hall '-P 4 2'
_cell_length_a 2.640
_cell_length_b 2.640
_cell_length_c 9.257
_cell_angle_alpha 90.00
_cell_angle_beta 90.00
_cell_angle_gamma 90.00
loop_
_atom_site_label
_atom_site_fract_x
_atom_site_fract_y
_atom_site_fract_z
_atom_site_occupancy
Li1 0.000 0.000 0.000 1
W1 0.000 0.000 0.500 1
W2 0.500 0.500 0.249 1
# * E_form: 50.2 kJ/mol of atoms
# * crystal system: tetragonal
# * V: 65 Å³/cell
# * E_tot: -9.673 eV/atom
# * distance to the lowest polymorph of the same formula: 0.82 eV/f.u.


8.
# LiW | Alexandria via LeMat-Bulk | PBE | optimized geometry
data_LiW
_space_group_name_H-M_alt 'P 63/m m c'
_space_group_IT_number 194
_space_group_name_Hall '-P 6c 2c'
_cell_length_a 4.0974
_cell_length_b 4.0974
_cell_length_c 4.6670
_cell_angle_alpha 90.00
_cell_angle_beta 90.00
_cell_angle_gamma 120.00
loop_
_atom_site_label
_atom_site_fract_x
_atom_site_fract_y
_atom_site_fract_z
_atom_site_occupancy
Li1 0.3333 0.6667 0.2500 1
W1 0.3333 0.6667 0.7500 1
# * E_form: 249.2 kJ/mol of atoms
# * crystal system: hexagonal
# * V: 68 Å³/cell
# * E_tot: -4.851 eV/atom
# * distance to the lowest polymorph of the same formula: 4.63 eV/f.u.